# 1
# CuTePd3

An optimized crystal structure of CuTePd3 (PBE, Alexandria via LeMat-Bulk).

## Properties
The value obtained for the formation energy from raw total energies is 0.479 eV per atom. For the density of states at the Fermi level, the calculation gives 3.947 states/eV/cell. The calculation puts the distance to the lowest polymorph of the same formula at 0.667 eV/atom. The final energy comes out at -4.084 eV/atom.

a b c (Å): 4.625 4.625 4.625
angles (deg): 90.00 90.00 90.00
Fractional coordinates of all 5 atoms:
Te  0.500  0.500  0.500
Cu  0.000  0.000  0.000
Pd  0.000  0.500  0.000
Pd  0.000  0.000  0.500
Pd  0.500  0.000  0.000

=====

# 2
# Fe2TeW

An optimized crystal structure of Fe2TeW (PBE, Alexandria via LeMat-Bulk).

## Properties
The value obtained for the formation energy from raw total energies is 0.605 eV per atom. For the density of states at the Fermi level, the calculation gives 6.051 states/eV/cell. The final energy comes out at -7.650 eV/atom.

a b c (Å): 4.578 4.578 4.578
angles (deg): 128.85 128.85 75.26
Fractional coordinates of all 4 atoms:
Fe  0.000  0.000  0.000
Fe  0.500  0.500  0.000
Te  0.250  0.750  0.500
W  0.750  0.250  0.500

=====

# 3
# CeDyMg2In2

An optimized crystal structure of CeDyMg2In2 (PBE, Alexandria via LeMat-Bulk).

## Properties
For the density of states at the Fermi level, the calculation gives 8.875 states/eV/cell. As for the formation energy: -0.31 eV per atom. The final energy comes out at -3.514 eV/atom.

a b c (Å): 5.001 5.001 7.173
angles (deg): 90.00 90.00 120.00
Each line ends with the local moment (μB).
Fractional coordinates of all 6 atoms:
Ce  0.000  0.000  0.000  0.70
Dy  0.000  0.000  0.500  0.01
Mg  0.333  0.667  0.744  0.00
Mg  0.667  0.333  0.256  0.00
In  0.333  0.667  0.248  -0.01
In  0.667  0.333  0.752  -0.01

=====

# 4
# AlPPt5

An optimized crystal structure of AlPPt5 (PBE, Alexandria via LeMat-Bulk).

## Properties
For the density of states at the Fermi level, the calculation gives 1.162 states/eV/cell. As for the formation energy: -0.62 eV per atom. The final energy comes out at -6.245 eV/atom.

a b c (Å): 3.948 3.948 6.871
angles (deg): 90.00 90.00 90.00
Fractional coordinates of all 7 atoms:
Al  0.500  0.500  0.000
P  0.000  0.000  0.500
Pt  0.000  0.500  0.288
Pt  0.000  0.500  0.712
Pt  0.500  0.000  0.288
Pt  0.500  0.000  0.712
Pt  0.000  0.000  0.000

=====

# 5
# LaAs2PdBr

An optimized crystal structure of LaAs2PdBr (PBE, Alexandria via LeMat-Bulk).

## Properties
The value obtained for the formation energy from raw total energies is -0.481 eV per atom. For the density of states at the Fermi level, the calculation gives 2.159 states/eV/cell. The calculation puts the distance to the lowest polymorph of the same formula at 0.000 eV/atom. The final energy comes out at -4.699 eV/atom.

a b c (Å): 4.909 4.909 5.146
angles (deg): 90.00 90.00 90.00
Fractional coordinates of all 5 atoms:
As  0.000  0.500  0.000
As  0.500  0.000  0.000
Br  0.000  0.000  0.500
Pd  0.000  0.000  0.000
La  0.500  0.500  0.500

=====

# 6
# TlSbS2

An optimized crystal structure of TlSbS2 (PBE, Alexandria via LeMat-Bulk).

## Properties
The value obtained for the formation energy from raw total energies is -0.332 eV per atom. For the density of states at the Fermi level, the calculation gives 0.000 states/eV/cell. The final energy comes out at -4.018 eV/atom.

a b c (Å): 6.497 6.333 12.007
angles (deg): 98.03 90.00 90.00
Fractional coordinates of all 16 atoms:
Tl  0.267  0.017  0.379
Tl  0.733  0.983  0.621
Tl  0.267  0.483  0.121
Tl  0.733  0.517  0.879
Sb  0.197  0.533  0.626
Sb  0.803  0.467  0.374
Sb  0.197  0.967  0.874
Sb  0.803  0.033  0.126
S  0.825  0.026  0.883
S  0.175  0.974  0.117
S  0.825  0.474  0.617
S  0.175  0.526  0.383
S  0.786  0.429  0.149
S  0.214  0.571  0.851
S  0.786  0.071  0.351
S  0.214  0.929  0.649

=====

# 7
# TlCdTe2N

An optimized crystal structure of TlCdTe2N (PBE, Alexandria via LeMat-Bulk).

## Properties
The value obtained for the formation energy from raw total energies is 0.797 eV per atom. For the density of states at the Fermi level, the calculation gives 5.267 states/eV/cell. The calculation puts the distance to the lowest polymorph of the same formula at 0.000 eV/atom. The final energy comes out at -2.781 eV/atom.

a b c (Å): 6.046 4.118 6.046
angles (deg): 90.00 90.00 90.00
Each line ends with the local moment (μB).
Fractional coordinates of all 5 atoms:
N  0.000  0.500  0.000  1.08
Tl  0.500  0.500  0.500  0.01
Te  0.000  0.000  0.500  0.27
Te  0.500  0.000  0.000  0.22
Cd  0.000  0.000  0.000  0.04

=====

# 8
# LaCu3Si

An optimized crystal structure of LaCu3Si (PBE, Alexandria via LeMat-Bulk).

## Properties
The value obtained for the formation energy from raw total energies is -0.358 eV per atom. For the density of states at the Fermi level, the calculation gives 2.742 states/eV/cell. The calculation puts the distance to the lowest polymorph of the same formula at 0.000 eV/atom. The final energy comes out at -4.886 eV/atom.

a b c (Å): 4.286 4.285 5.640
angles (deg): 67.23 67.25 88.60
Fractional coordinates of all 5 atoms:
La  0.403  0.206  0.900
Cu  0.643  0.949  0.417
Cu  0.145  0.446  0.417
Cu  0.785  0.589  0.136
Si  0.032  0.835  0.641

=====

# 9
# BeNbGa

An optimized crystal structure of BeNbGa (PBE, Alexandria via LeMat-Bulk).

## Properties
For the density of states at the Fermi level, the calculation gives 0.699 states/eV/cell. The calculation puts the distance to the lowest polymorph of the same formula at 0.092 eV/atom. As for the formation energy: -0.27 eV per atom. The final energy comes out at -5.880 eV/atom.

a b c (Å): 3.359 3.784 3.784
angles (deg): 120.00 90.00 90.00
Fractional coordinates of all 3 atoms:
Be  0.166  0.000  0.000
Nb  0.667  0.667  0.333
Ga  0.167  0.333  0.667

=====

# 10
# Ba8In2Au

An optimized crystal structure of Ba8In2Au (PBE, Alexandria via LeMat-Bulk).

## Properties
For the density of states at the Fermi level, the calculation gives 10.222 states/eV/cell. As for the formation energy: -0.30 eV per atom. The final energy comes out at -2.491 eV/atom.

a b c (Å): 6.012 8.216 11.082
angles (deg): 106.52 105.74 90.00
Fractional coordinates of all 11 atoms:
Ba  0.403  0.574  0.807
Ba  0.658  0.958  0.315
Ba  0.791  0.702  0.583
Ba  0.971  0.205  0.943
Ba  0.209  0.298  0.417
Ba  0.342  0.042  0.685
Ba  0.597  0.426  0.193
Ba  0.029  0.795  0.057
In  0.816  0.292  0.632
In  0.184  0.708  0.368
Au  0.500  0.000  0.000

=====

# 11
# Rb2ReCl

An optimized crystal structure of Rb2ReCl (PBE, Alexandria via LeMat-Bulk).

## Properties
The value obtained for the formation energy from raw total energies is 0.779 eV per atom. For the density of states at the Fermi level, the calculation gives 9.241 states/eV/cell. The calculation puts the distance to the lowest polymorph of the same formula at 0.040 eV/atom. The final energy comes out at -3.278 eV/atom.

a b c (Å): 6.041 6.041 6.041
angles (deg): 60.00 60.00 60.00
Each line ends with the local moment (μB).
Fractional coordinates of all 4 atoms:
Re  0.500  0.500  0.500  3.23
Rb  0.250  0.250  0.250  0.01
Rb  0.750  0.750  0.750  0.01
Cl  0.000  0.000  0.000  0.01

=====

# 12
# LiHfMgIr

An optimized crystal structure of LiHfMgIr (PBE, Alexandria via LeMat-Bulk).

## Properties
For the density of states at the Fermi level, the calculation gives 3.726 states/eV/cell. As for the formation energy: -0.48 eV per atom. The final energy comes out at -6.061 eV/atom.

a b c (Å): 4.548 4.548 4.548
angles (deg): 60.00 60.00 60.00
Fractional coordinates of all 4 atoms:
Mg  0.250  0.250  0.250
Ir  0.500  0.500  0.500
Hf  0.750  0.750  0.750
Li  0.000  0.000  0.000